First-principles (PBE with a Hubbard U) data for an optimized crystal structure of EuCrF2, as listed in Alexandria.

a b c (Å): 3.8252 3.8252 22.5179
angles (deg): 90.00 90.00 120.00
Closest atoms and distances in Å follow each position.
Space group R-3m (No. 166, hexagonal axes)
One atom of each set of equivalent atoms:
Eu (0.0000, 0.0000, 0.0000) [3 per cell]  6 F 2.40
Cr (0.0000, 0.0000, 0.5000) [3 per cell]  6 F 3.57, 6 Cr 3.83
F (0.0000, 0.0000, 0.2913) [6 per cell]  3 Eu 2.40

Output
Calculated total energy in eV/atom: -7.557
Calculated density in g cm⁻³: 4.224
Crystal system: trigonal
Fermi-level density of states in states/eV/cell: 33.70